No. 1
Compound: MgW2Cl
Source: Alexandria via LeMat-Bulk
Functional: meta-GGA SCAN
Structure: single point on PBEsol structure

As for the total energy: -37.1923 eV per atom. The calculation puts the formation energy (no corrections) at 0.890 eV per atom. The value obtained for the excess energy over the best structure of this formula in the dataset is 0.734 eV/atom.

a = 3.5689 Å, b = 3.5689 Å, c = 6.6373 Å
α = 105.60°, β = 105.60°, γ = 90.00°
Closest atoms and distances in Å follow each position.
Fractional positions:
W1 0.2500 0.7500 0.5000  4 W 2.52
Cl1 0.5000 0.5000 0.0000  4 Mg 2.52
W2 0.7500 0.2500 0.5000  4 W 2.52
Mg1 0.0000 0.0000 0.0000  4 Cl 2.52

=====

No. 2
Compound: ZrCdAg2
Source: Alexandria via LeMat-Bulk
Functional: meta-GGA SCAN
Structure: single point on PBEsol structure

As for the total energy: -30.9618 eV per atom. The calculation puts the formation energy from the elements at 0.000 eV per atom.

a = 2.9666 Å, b = 2.9666 Å, c = 9.9000 Å
α = 81.38°, β = 81.38°, γ = 60.00°
Closest atoms and distances in Å follow each position.
Fractional positions:
Ag1 0.2487 0.2487 0.2540  3 Cd 2.95, 6 Ag 2.97, 3 Zr 3.01
Ag2 0.7513 0.7513 0.7460  3 Cd 2.95, 6 Ag 2.97, 3 Zr 3.01
Cd1 0.5000 0.5000 0.5000  6 Ag 2.95, 6 Cd 2.97
Zr1 0.0000 0.0000 0.0000  6 Zr 2.97, 6 Ag 3.01

=====

No. 3
Compound: Dy3Lu
Source: Alexandria via LeMat-Bulk
Functional: meta-GGA SCAN
Structure: single point on PBEsol structure

As for the total energy: -49.6587 eV per atom. The value obtained for the excess energy over the best structure of this formula in the dataset is 0.020 eV/atom. The calculation puts the formation energy from the elements at 0.025 eV per atom.

a = 4.8678 Å, b = 4.8678 Å, c = 5.9563 Å
α = 114.12°, β = 114.12°, γ = 90.00°
Closest atoms and distances in Å follow each position.
Fractional positions:
Lu1 0.0000 0.0000 0.0000  12 Dy 3.44
Dy1 0.7500 0.2500 0.5000  8 Dy 3.44, 4 Lu 3.44
Dy2 0.2500 0.7500 0.5000  8 Dy 3.44, 4 Lu 3.44
Dy3 0.5000 0.5000 0.0000  8 Dy 3.44, 4 Lu 3.44

=====

No. 4
Compound: Sr2LiCd2
Source: Alexandria via LeMat-Bulk
Functional: meta-GGA SCAN
Structure: single point on PBEsol structure

As for the total energy: -21.8294 eV per atom. The calculation puts the formation energy from the elements at -0.276 eV per atom.

a = 4.7177 Å, b = 8.2736 Å, c = 8.2736 Å
α = 90.00°, β = 90.00°, γ = 90.00°
Closest atoms and distances in Å follow each position.
Fractional positions:
Cd1 0.0000 0.1272 0.3728  1 Cd 2.98, 2 Li 3.26, 2 Sr 3.33
Sr1 0.5000 0.8283 0.3283  6 Cd 3.33-3.44
Sr2 0.5000 0.3283 0.1717  6 Cd 3.33-3.44
Cd2 0.0000 0.8728 0.6272  1 Cd 2.98, 2 Li 3.26, 2 Sr 3.33
Sr3 0.5000 0.1717 0.6717  6 Cd 3.33-3.44
Li1 0.0000 0.0000 0.0000  4 Cd 3.26
Li2 0.0000 0.5000 0.5000  4 Cd 3.26
Sr4 0.5000 0.6717 0.8283  6 Cd 3.33-3.44
Cd3 0.0000 0.3728 0.8728  1 Cd 2.98, 2 Li 3.26, 2 Sr 3.33
Cd4 0.0000 0.6272 0.1272  1 Cd 2.98, 2 Li 3.26, 2 Sr 3.33